[1]
AlAg2As after structural relaxation, computed with GGA-PBEsol.

As for the space group: Pmmm. As for the density: 7.688 Mg/m³. As for the formation energy: 44 kJ/mol of formula units.

abc: 3.236 4.500 4.712
angles: 90.00 90.00 90.00
Element x y z (fractional)
Al 0.000 0.000 0.000
Ag 0.000 0.500 0.500
Ag 0.500 0.500 0.000
As 0.500 0.000 0.500

***

[2]
Al2AgAs after structural relaxation, computed with GGA-PBEsol.

As for the space group: P4mm. As for the density: 5.527 Mg/m³. As for the formation energy: 3 kJ/mol of formula units.

abc: 3.602 3.602 5.483
angles: 90.00 90.00 90.00
Element x y z (fractional)
Al 0.000 0.000 0.000
Al 0.500 0.500 0.345
Ag 0.500 0.500 0.865
As 0.000 0.000 0.470

***

[3]
AlAgAs after structural relaxation, computed with GGA-PBEsol.

As for the space group: F-43m. As for the density: 6.050 Mg/m³. As for the formation energy: 16 kJ/mol of formula units.

abc: 6.130 6.130 6.130
angles: 90.00 90.00 90.00
Element x y z (fractional)
Al 0.000 0.000 0.000
Al 0.000 0.500 0.500
Al 0.500 0.000 0.500
Al 0.500 0.500 0.000
Ag 0.250 0.250 0.750
Ag 0.250 0.750 0.250
Ag 0.750 0.250 0.250
Ag 0.750 0.750 0.750
As 0.250 0.250 0.250
As 0.250 0.750 0.750
As 0.750 0.250 0.750
As 0.750 0.750 0.250

***

[4]
Al2AgAs after structural relaxation, computed with GGA-PBEsol.

As for the space group: Pm. As for the density: 5.570 Mg/m³. As for the formation energy: 15 kJ/mol of formula units.

abc: 3.001 4.054 5.995
angles: 90.00 104.62 90.00
Element x y z (fractional)
Al 0.000 0.000 0.000
Al 0.350 0.500 0.703
Ag 0.768 0.000 0.539
As 0.583 0.500 0.167

***

[5]
AlAgAs2 after structural relaxation, computed with GGA-PBEsol.

As for the space group: Pmmm. As for the density: 6.533 Mg/m³. As for the formation energy: 79 kJ/mol of formula units.

abc: 3.834 3.844 4.911
angles: 90.00 90.00 90.00
Element x y z (fractional)
Al 0.000 0.000 0.000
Ag 0.000 0.500 0.500
As 0.500 0.000 0.500
As 0.500 0.500 0.000

***

[6]
AlAgAs2 after structural relaxation, computed with GGA-PBEsol.

As for the space group: Imm2. As for the density: 6.323 Mg/m³. As for the formation energy: 59 kJ/mol of formula units.

abc: 3.524 3.822 11.104
angles: 90.00 90.00 90.00
Element x y z (fractional)
Al 0.000 0.000 0.000
Al 0.500 0.500 0.500
Ag 0.000 0.500 0.171
Ag 0.500 0.000 0.671
As 0.000 0.000 0.438
As 0.000 0.500 0.750
As 0.500 0.000 0.250
As 0.500 0.500 0.938